[1]
# PBE-GGA La2NdTlCo, optimized geometry
data_La2NdTlCo
_cell_length_a 5.217
_cell_length_b 5.217
_cell_length_c 5.516
_cell_angle_alpha 90.00
_cell_angle_beta 90.00
_cell_angle_gamma 90.00
_symmetry_space_group_name_H-M 'P 4/m m m'
_symmetry_Int_Tables_number 123
_symmetry_space_group_name_Hall '-P 4 2'
loop_
_atom_site_label
_atom_site_fract_x
_atom_site_fract_y
_atom_site_fract_z
La1 0.000 0.500 0.000
Nd1 0.000 0.000 0.500
Tl1 0.500 0.500 0.500
Co1 0.000 0.000 0.000
# DOS(E_F): 1.078 states/eV per atom
# E_tot: -0.185 hartree per atom


[2]
# PBE-GGA LaNdYCo, optimized geometry
data_LaNdYCo
_cell_length_a 3.569
_cell_length_b 4.813
_cell_length_c 13.334
_cell_angle_alpha 90.00
_cell_angle_beta 90.00
_cell_angle_gamma 90.00
_symmetry_space_group_name_H-M 'A m m 2'
_symmetry_Int_Tables_number 38
loop_
_symmetry_equiv_pos_as_xyz
'x,y,z'
'-x,-y,z'
'-x,y,z'
'x,-y,z'
'x,y+1/2,z+1/2'
'-x,-y+1/2,z+1/2'
'-x,y+1/2,z+1/2'
'x,-y+1/2,z+1/2'
loop_
_atom_site_label
_atom_site_fract_x
_atom_site_fract_y
_atom_site_fract_z
La1 0.000 0.000 0.000
Nd1 0.500 0.000 0.657
Y1 0.500 0.000 0.339
Co1 0.000 0.000 0.821
# DOS(E_F): 1.104 states/eV per atom
# E_tot: -0.213 hartree per atom


[3]
# PBE-GGA La3Nd3Zn2Co, optimized geometry
data_La3Nd3Zn2Co
_cell_length_a 8.8608
_cell_length_b 8.8608
_cell_length_c 3.7352
_cell_angle_alpha 90.00
_cell_angle_beta 90.00
_cell_angle_gamma 120.00
_symmetry_space_group_name_H-M 'P -6 2 m'
_symmetry_Int_Tables_number 189
_symmetry_space_group_name_Hall 'P -6 -2'
loop_
_atom_site_label
_atom_site_fract_x
_atom_site_fract_y
_atom_site_fract_z
La1 0.0000 0.4089 0.0000
Nd1 0.0000 0.7653 0.5000
Zn1 0.3333 0.6667 0.5000
Co1 0.0000 0.0000 0.0000
# DOS(E_F): 1.198 states/eV per atom
# E_tot: -0.163 hartree per atom


[4]
# PBE-GGA LaNdZnCo, optimized geometry
data_LaNdZnCo
_cell_length_a 7.198
_cell_length_b 7.198
_cell_length_c 7.198
_cell_angle_alpha 90.00
_cell_angle_beta 90.00
_cell_angle_gamma 90.00
_symmetry_space_group_name_H-M 'F -4 3 m'
_symmetry_Int_Tables_number 216
_symmetry_space_group_name_Hall 'F -4 2 3'
loop_
_atom_site_label
_atom_site_fract_x
_atom_site_fract_y
_atom_site_fract_z
La1 0.000 0.000 0.000
Nd1 0.000 0.000 0.500
Zn1 0.250 0.250 0.250
Co1 0.250 0.250 0.750
# DOS(E_F): 0.797 states/eV per atom
# E_tot: -0.170 hartree per atom